Density functional theory data (PBE) for a geometry-optimized LiCa3Te3 structure.

a b c (Å): 19.3618 6.5059 12.9904
angles (deg): 90.00 90.00 90.00
With the nearest neighbours (Å) after each atom.
Space group Cmce (No. 64)
One atom of each set of equivalent atoms:
Li 0.0825 0.0000 0.0000  4 Te 2.68-2.70
Ca 0.0000 0.2079 0.3568  2 Li 3.10, 6 Te 3.11-3.43
Ca 0.1736 0.2212 0.6349  1 Li 3.08, 6 Te 3.15-3.38
Te 0.0000 0.2322 0.1179  2 Li 2.68
Te 0.1641 0.2340 0.8792  1 Li 2.70

Calculated values
N(E_F) (states/eV/cell): 25.6
Density (g/cm3): 4.14
Formation energy without anion corrections (meV per atom): -1298
Crystal system: orthorhombic